A plane-wave DFT calculation with PBE was carried out for a relaxed structure of Pr5HoAg6.

The calculation puts the energy relative to the elements at -0.2550 eV/atom.

The structure belongs to space group P2/m (No. 10); the cell edges are 5.3331, 7.4476 and 8.4254 Å and the angles 90.00°, 107.89° and 90.00°. The distinct sites, in fractional coordinates, are Pr at (0.0000, 0.0000, 0.0000), Pr at (0.3309, 0.0000, 0.6622), Pr at (0.3345, 0.5000, 0.6687), Ho at (0.0000, 0.5000, 0.0000), Ag at (0.1616, 0.2579, 0.3225) and Ag at (0.5000, 0.2610, 0.0000).

A plane-wave DFT calculation with PBE was carried out for a relaxed structure of PrHo3Ag2.

The calculation puts the energy relative to the elements at -0.1266 eV/atom. For the energy above the most stable polymorph in this dataset, the calculation gives 0.075 eV/atom.

The structure belongs to space group C2/m (No. 12); the cell edges are 15.7530, 5.3272 and 8.7390 Å and the angles 90.00°, 115.68° and 90.00°. The distinct sites, in fractional coordinates, are Pr at (0.1365, 0.0000, 0.1927), Ho at (0.0621, 0.0000, 0.7256), Ho at (0.1187, 0.5000, 0.5268), Ho at (0.1917, 0.5000, 0.9954), Ag at (0.0106, 0.5000, 0.1656) and Ag at (0.2270, 0.0000, 0.6109).